The following is a DFT calculation (PBE) of a relaxed TbNdPdRu crystal.

Results
Energy above the lowest structure with this stoichiometry, eV/atom: 0.044
Space-group type: F-43m, No. 216
Density, g cm⁻³: 9.75
Total moment, μB/cell: 0.00
Total DFT energy (no corrections), eV per cell: -103.70
Formation enthalpy at 0 K, eV/atom: -0.51

Cell lengths 7.0327, 7.0327, 7.0327 Å; angles 90.00, 90.00, 90.00 degrees
Element x y z (fractional)
Tb: 0.0000 0.0000 0.0000
Tb: 0.0000 0.5000 0.5000
Tb: 0.5000 0.0000 0.5000
Tb: 0.5000 0.5000 0.0000
Nd: 0.0000 0.0000 0.5000
Nd: 0.0000 0.5000 0.0000
Nd: 0.5000 0.0000 0.0000
Nd: 0.5000 0.5000 0.5000
Pd: 0.2500 0.2500 0.2500
Pd: 0.2500 0.7500 0.7500
Pd: 0.7500 0.2500 0.7500
Pd: 0.7500 0.7500 0.2500
Ru: 0.2500 0.2500 0.7500
Ru: 0.2500 0.7500 0.2500
Ru: 0.7500 0.2500 0.2500
Ru: 0.7500 0.7500 0.7500

=====

The following is a DFT calculation (PBE) of a relaxed VFeP2S crystal.

Results
Energy above the lowest structure with this stoichiometry, eV/atom: 0.000
Space-group type: P4/mmm, No. 123
Density, g cm⁻³: 3.61
Total moment, μB/cell: 3.45
Total DFT energy (no corrections), eV per cell: -29.62
E_form (uncorrected), eV per formula unit: 2.9

Cell lengths 4.5608, 4.5608, 4.4394 Å; angles 90.00, 90.00, 90.00 degrees
Element x y z (fractional)
V: 0.0000 0.0000 0.0000
Fe: 0.5000 0.5000 0.5000
P: 0.0000 0.5000 0.0000
P: 0.5000 0.0000 0.0000
S: 0.0000 0.0000 0.5000

=====

The following is a DFT calculation (PBE) of a relaxed Hf2P2Se crystal.

Results
Space-group type: P4/mbm, No. 127
Density, g cm⁻³: 9.16
Total moment, μB/cell: 0.00
Total DFT energy (no corrections), eV per cell: -78.62
E_form (uncorrected), eV per formula unit: -5.1

Cell lengths 7.2493, 7.2493, 3.4340 Å; angles 90.00, 90.00, 90.00 degrees
Element x y z (fractional)
Hf: 0.1599 0.3401 0.0000
Hf: 0.3401 0.8401 0.0000
Hf: 0.6599 0.1599 0.0000
Hf: 0.8401 0.6599 0.0000
P: 0.1316 0.6316 0.5000
P: 0.3684 0.1316 0.5000
P: 0.6316 0.8684 0.5000
P: 0.8684 0.3684 0.5000
Se: 0.0000 0.0000 0.0000
Se: 0.5000 0.5000 0.0000